No. 1
Computed, not measured: a crystal of CuAgSe2 relaxed with PBEsol at the SCAN level of DFT.

Values from the calculation:
- DOS(E_F) (states/eV per cell) = 1.0
- raw formation energy (eV per formula unit) = -0.444

Unit cell a=3.5571 b=4.0951 c=6.3588 alpha=110.14 beta=90.00 gamma=115.74
Element x y z (fractional)
Ag 0.0000 0.0000 0.5000
Se 0.8193 0.6386 0.7687
Se 0.1807 0.3614 0.2313
Cu 0.5000 0.0000 0.0000

---

No. 2
Computed, not measured: a crystal of Cu2SiAg relaxed with PBEsol at the SCAN level of DFT.

Values from the calculation:
- DOS(E_F) (states/eV per cell) = 1.1
- raw formation energy (eV per formula unit) = 0.537

Unit cell a=3.7215 b=3.7287 c=4.5921 alpha=113.95 beta=113.90 gamma=90.00
Element x y z (fractional)
Ag 0.2495 0.7495 0.4989
Cu 0.0000 0.0000 0.0000
Cu 0.7509 0.2509 0.5017
Si 0.4997 0.4997 0.9993

---

No. 3
Computed, not measured: a crystal of CuSi4Ag relaxed with PBEsol at the SCAN level of DFT.

Values from the calculation:
- DOS(E_F) (states/eV per cell) = 2.0
- raw formation energy (eV per formula unit) = 4.092

Unit cell a=5.0315 b=5.0315 c=5.0315 alpha=60.00 beta=60.00 gamma=60.00
Element x y z (fractional)
Ag 0.7500 0.7500 0.7500
Cu 0.0000 0.0000 0.0000
Si 0.3746 0.3746 0.3746
Si 0.3746 0.3746 0.8763
Si 0.8763 0.3746 0.3746
Si 0.3746 0.8763 0.3746

---

No. 4
Computed, not measured: a crystal of Cu2Si2Ag relaxed with PBEsol at the SCAN level of DFT.

Values from the calculation:
- DOS(E_F) (states/eV per cell) = 1.7
- raw formation energy (eV per formula unit) = 1.022

Unit cell a=3.4893 b=3.4893 c=6.2983 alpha=106.08 beta=106.08 gamma=90.00
Element x y z (fractional)
Si 0.2500 0.7500 0.5000
Si 0.7500 0.2500 0.5000
Cu 0.3940 0.3940 0.7880
Cu 0.6060 0.6060 0.2120
Ag 0.0000 0.0000 0.0000

---

No. 5
Computed, not measured: a crystal of CuSi2Ag relaxed with PBEsol at the SCAN level of DFT.

Values from the calculation:
- DOS(E_F) (states/eV per cell) = 1.4
- raw formation energy (eV per formula unit) = 2.201

Unit cell a=4.3858 b=4.3858 c=4.3858 alpha=60.00 beta=60.00 gamma=60.00
Element x y z (fractional)
Ag 0.0000 0.0000 0.0000
Cu 0.5000 0.5000 0.5000
Si 0.2500 0.2500 0.2500
Si 0.7500 0.7500 0.7500

---

No. 6
Computed, not measured: a crystal of CuAgSn3 relaxed with PBEsol at the SCAN level of DFT.

Values from the calculation:
- DOS(E_F) (states/eV per cell) = 2.6
- E_tot (eV per atom) = -30.4066

Unit cell a=4.9838 b=4.9838 c=4.9838 alpha=90.00 beta=90.00 gamma=90.00
Element x y z (fractional)
Cu 0.0000 0.0000 0.0000
Sn 0.0000 0.5000 0.0000
Sn 0.0000 0.0000 0.5000
Sn 0.5000 0.0000 0.0000
Ag 0.5000 0.5000 0.5000

---

No. 7
Computed, not measured: a crystal of CuAgSn2 relaxed with PBEsol at the SCAN level of DFT.

Values from the calculation:
- DOS(E_F) (states/eV per cell) = 1.4
- E_tot (eV per atom) = -29.2960

Unit cell a=4.8161 b=4.8161 c=4.8161 alpha=60.00 beta=60.00 gamma=60.00
Element x y z (fractional)
Cu 0.0000 0.0000 0.0000
Sn 0.2500 0.2500 0.2500
Sn 0.7500 0.7500 0.7500
Ag 0.5000 0.5000 0.5000

---

No. 8
Computed, not measured: a crystal of Cu2TcAgSn relaxed with PBEsol at the SCAN level of DFT.

Values from the calculation:
- DOS(E_F) (states/eV per cell) = 2.8
- E_tot (eV per atom) = -25.2369

Unit cell a=4.6365 b=4.6365 c=4.9639 alpha=90.00 beta=90.00 gamma=90.00
Element x y z (fractional)
Cu 0.0000 0.5000 0.0000
Cu 0.5000 0.0000 0.0000
Sn 0.0000 0.0000 0.0000
Ag 0.5000 0.5000 0.5000
Tc 0.0000 0.0000 0.5000